Record 1
ThFe4B4 | PBE | optimized geometry

Relative energy among the computed polymorphs   32 meV per atom
Space-group type   No. 137
DOS at the Fermi energy   12.8 states/eV/cell

CIF file:
```
data_ThFe4B4
_cell_length_a 5.105
_cell_length_b 5.105
_cell_length_c 7.027
_cell_angle_alpha 90.00
_cell_angle_beta 90.00
_cell_angle_gamma 90.00
_symmetry_space_group_name_H-M 'P 1'
_symmetry_Int_Tables_number 1
_symmetry_space_group_name_Hall 'P 1'
loop_
_atom_site_label
_atom_site_fract_x
_atom_site_fract_y
_atom_site_fract_z
_atom_site_occupancy
Th1 0.250 0.750 0.250 1
Th2 0.750 0.250 0.750 1
Fe1 0.010 0.750 0.619 1
Fe2 0.250 0.510 0.881 1
Fe3 0.250 0.990 0.881 1
Fe4 0.490 0.750 0.619 1
Fe5 0.510 0.250 0.381 1
Fe6 0.750 0.010 0.119 1
Fe7 0.750 0.490 0.119 1
Fe8 0.990 0.250 0.381 1
B1 0.076 0.250 0.091 1
B2 0.250 0.076 0.591 1
B3 0.250 0.424 0.591 1
B4 0.424 0.250 0.091 1
B5 0.576 0.750 0.909 1
B6 0.750 0.576 0.409 1
B7 0.750 0.924 0.409 1
B8 0.924 0.750 0.909 1
```


Record 2
CsInICl | PBE | optimized geometry

Relative energy among the computed polymorphs   0 meV per atom
E_form (uncorrected)   -444 kJ/mol of formula units
Space-group type   No. 8
DOS at the Fermi energy   0.0 states/eV/cell

CIF file:
```
data_CsInICl
_cell_length_a 4.875
_cell_length_b 4.875
_cell_length_c 9.118
_cell_angle_alpha 105.51
_cell_angle_beta 105.51
_cell_angle_gamma 60.03
_symmetry_space_group_name_H-M 'P 1'
_symmetry_Int_Tables_number 1
_symmetry_space_group_name_Hall 'P 1'
loop_
_atom_site_label
_atom_site_fract_x
_atom_site_fract_y
_atom_site_fract_z
_atom_site_occupancy
Cs1 0.000 0.000 0.000 1
In1 0.151 0.151 0.456 1
I1 0.563 0.563 0.690 1
Cl1 0.744 0.744 0.233 1
```


Record 3
BeSi2 | PBE | optimized geometry

Relative energy among the computed polymorphs   518 meV per atom
E_form (uncorrected)   224 kJ/mol of formula units
Space-group type   No. 227
DOS at the Fermi energy   4.1 states/eV/cell

CIF file:
```
data_BeSi2
_cell_length_a 4.875
_cell_length_b 4.875
_cell_length_c 4.875
_cell_angle_alpha 60.00
_cell_angle_beta 60.00
_cell_angle_gamma 60.00
_symmetry_space_group_name_H-M 'P 1'
_symmetry_Int_Tables_number 1
_symmetry_space_group_name_Hall 'P 1'
loop_
_atom_site_label
_atom_site_fract_x
_atom_site_fract_y
_atom_site_fract_z
_atom_site_occupancy
Be1 0.125 0.125 0.125 1
Be2 0.875 0.875 0.875 1
Si1 0.000 0.500 0.500 1
Si2 0.500 0.000 0.500 1
Si3 0.500 0.500 0.000 1
Si4 0.500 0.500 0.500 1
```


Record 4
Er6Si2Te3Pb | PBE | optimized geometry

E_form (uncorrected)   -1161 kJ/mol of formula units
Space-group type   No. 12
DOS at the Fermi energy   2.2 states/eV/cell

CIF file:
```
data_Er6Si2Te3Pb
_cell_length_a 9.601
_cell_length_b 9.601
_cell_length_c 8.669
_cell_angle_alpha 103.51
_cell_angle_beta 103.51
_cell_angle_gamma 25.42
_symmetry_space_group_name_H-M 'P 1'
_symmetry_Int_Tables_number 1
_symmetry_space_group_name_Hall 'P 1'
loop_
_atom_site_label
_atom_site_fract_x
_atom_site_fract_y
_atom_site_fract_z
_atom_site_occupancy
Er1 0.011 0.011 0.254 1
Er2 0.325 0.325 0.434 1
Er3 0.332 0.332 0.888 1
Er4 0.668 0.668 0.112 1
Er5 0.675 0.675 0.566 1
Er6 0.989 0.989 0.746 1
Si1 0.168 0.168 0.337 1
Si2 0.832 0.832 0.663 1
Te1 0.164 0.164 0.833 1
Te2 0.500 0.500 0.500 1
Te3 0.836 0.836 0.167 1
Pb1 0.500 0.500 0.000 1
```


Record 5
MnTeCl | PBE | optimized geometry

E_form (uncorrected)   -24 kJ/mol of formula units
Space-group type   No. 216
DOS at the Fermi energy   2.7 states/eV/cell

CIF file:
```
data_MnTeCl
_cell_length_a 4.739
_cell_length_b 4.739
_cell_length_c 4.739
_cell_angle_alpha 60.00
_cell_angle_beta 60.00
_cell_angle_gamma 60.00
_symmetry_space_group_name_H-M 'P 1'
_symmetry_Int_Tables_number 1
_symmetry_space_group_name_Hall 'P 1'
loop_
_atom_site_label
_atom_site_fract_x
_atom_site_fract_y
_atom_site_fract_z
_atom_site_occupancy
Mn1 0.000 0.000 0.000 1
Te1 0.750 0.750 0.750 1
Cl1 0.250 0.250 0.250 1
```


Record 6
ZnCuSnIr | PBE | optimized geometry

Space-group type   No. 216
DOS at the Fermi energy   2.0 states/eV/cell

CIF file:
```
data_ZnCuSnIr
_cell_length_a 4.459
_cell_length_b 4.459
_cell_length_c 4.459
_cell_angle_alpha 60.00
_cell_angle_beta 60.00
_cell_angle_gamma 60.00
_symmetry_space_group_name_H-M 'P 1'
_symmetry_Int_Tables_number 1
_symmetry_space_group_name_Hall 'P 1'
loop_
_atom_site_label
_atom_site_fract_x
_atom_site_fract_y
_atom_site_fract_z
_atom_site_occupancy
Zn1 0.000 0.000 0.000 1
Cu1 0.750 0.750 0.750 1
Sn1 0.500 0.500 0.500 1
Ir1 0.250 0.250 0.250 1
```


Record 7
Ce4SiOs | PBE | optimized geometry

Relative energy among the computed polymorphs   141 meV per atom
E_form (uncorrected)   -121 kJ/mol of formula units
Space-group type   No. 15
DOS at the Fermi energy   27.6 states/eV/cell

CIF file:
```
data_Ce4SiOs
_cell_length_a 8.082
_cell_length_b 8.082
_cell_length_c 6.872
_cell_angle_alpha 111.50
_cell_angle_beta 111.50
_cell_angle_gamma 112.09
_symmetry_space_group_name_H-M 'P 1'
_symmetry_Int_Tables_number 1
_symmetry_space_group_name_Hall 'P 1'
loop_
_atom_site_label
_atom_site_fract_x
_atom_site_fract_y
_atom_site_fract_z
_atom_site_occupancy
Ce1 0.003 0.476 0.249 1
Ce2 0.247 0.274 0.249 1
Ce3 0.274 0.247 0.749 1
Ce4 0.476 0.003 0.749 1
Ce5 0.524 0.997 0.251 1
Ce6 0.726 0.753 0.251 1
Ce7 0.753 0.726 0.751 1
Ce8 0.997 0.524 0.751 1
Si1 0.125 0.875 0.250 1
Si2 0.875 0.125 0.750 1
Os1 0.375 0.625 0.750 1
Os2 0.625 0.375 0.250 1
```


Record 8
ThCdAg2 | PBE | optimized geometry

Relative energy among the computed polymorphs   0 meV per atom
Space-group type   No. 225
DOS at the Fermi energy   3.0 states/eV/cell

CIF file:
```
data_ThCdAg2
_cell_length_a 5.061
_cell_length_b 5.061
_cell_length_c 5.061
_cell_angle_alpha 60.00
_cell_angle_beta 60.00
_cell_angle_gamma 60.00
_symmetry_space_group_name_H-M 'P 1'
_symmetry_Int_Tables_number 1
_symmetry_space_group_name_Hall 'P 1'
loop_
_atom_site_label
_atom_site_fract_x
_atom_site_fract_y
_atom_site_fract_z
_atom_site_occupancy
Th1 0.000 0.000 0.000 1
Cd1 0.500 0.500 0.500 1
Ag1 0.250 0.250 0.250 1
Ag2 0.750 0.750 0.750 1
```


| no. | electronic total energy (eV/atom) |
| --- | --- |
| 1 | -8.0173 |
| 2 | -2.8983 |
| 3 | -4.0822 |
| 4 | -5.2821 |
| 5 | -4.8038 |
| 6 | -4.5914 |
| 7 | -6.9401 |
| 8 | -3.6569 |